# LiLaBe2 GGA-PBE relaxed
# **ΔE to the lowest computed polymorph**: 0.58 eV per formula unit
# **Magnetization**: 0.0 μB per cell
# **DFT formation energy**: 340.9 meV per atom
data_LiLaBe2
_symmetry_space_group_name_H-M 'P 1'
_symmetry_Int_Tables_number 1
_cell_length_a 4.716
_cell_length_b 4.716
_cell_length_c 4.716
_cell_angle_alpha 121.62
_cell_angle_beta 114.71
_cell_angle_gamma 93.31
loop_
_symmetry_equiv_pos_as_xyz
'x,y,z'
loop_
_atom_site_label
_atom_site_type_symbol
_atom_site_fract_x
_atom_site_fract_y
_atom_site_fract_z
Be1 Be 0.944 0.944 0.000
Be2 Be 0.556 0.556 0.000
La1 La 0.250 0.750 0.500
Li1 Li 0.750 0.250 0.500